[1]
First-principles (GGA-PBE) data for crystalline Er6CdRh at its relaxed geometry, as listed in Alexandria.

Cell lengths 6.826, 6.843, 7.313 Å; angles 90.21, 117.60, 119.86 degrees
Atoms (fractional coordinates):
Er 0.039 0.078 0.254
Er 0.293 0.714 0.253
Er 0.322 0.538 0.747
Er 0.678 0.462 0.253
Er 0.707 0.286 0.747
Er 0.961 0.922 0.746
Cd 0.500 0.000 0.000
Rh 0.500 0.500 0.500

Values from the calculation:
The energy relative to the elements is -0.074 eV/atom. As for the density of states at the Fermi level: 10.75 states/eV per cell. As for the total energy: -36.23 eV for the cell shown. As for the space group: No. 2.

***

[2]
First-principles (GGA-PBE) data for crystalline Er5Cd2RuRh2 at its relaxed geometry, as listed in Alexandria.

Cell lengths 11.471, 11.471, 3.520 Å; angles 90.00, 90.00, 90.00 degrees
Atoms (fractional coordinates):
Er 0.000 0.500 0.000
Er 0.068 0.195 0.000
Er 0.195 0.932 0.000
Er 0.305 0.432 0.000
Er 0.432 0.695 0.000
Er 0.500 0.000 0.000
Er 0.568 0.305 0.000
Er 0.695 0.568 0.000
Er 0.805 0.068 0.000
Er 0.932 0.805 0.000
Cd 0.178 0.678 0.500
Cd 0.322 0.178 0.500
Cd 0.678 0.822 0.500
Cd 0.822 0.322 0.500
Ru 0.000 0.000 0.500
Ru 0.500 0.500 0.500
Rh 0.132 0.368 0.500
Rh 0.368 0.868 0.500
Rh 0.632 0.132 0.500
Rh 0.868 0.632 0.500

Values from the calculation:
The energy relative to the elements is -0.510 eV/atom. As for the density of states at the Fermi level: 13.22 states/eV per cell. As for the total energy: -107.45 eV for the cell shown. As for the space group: No. 127.

***

[3]
First-principles (GGA-PBE) data for crystalline Er4CdRu2Rh at its relaxed geometry, as listed in Alexandria.

Cell lengths 8.472, 8.472, 8.472 Å; angles 33.43, 33.43, 33.43 degrees
Atoms (fractional coordinates):
Er 0.119 0.119 0.119
Er 0.371 0.371 0.371
Er 0.629 0.629 0.629
Er 0.881 0.881 0.881
Cd 0.500 0.500 0.500
Ru 0.249 0.249 0.249
Ru 0.751 0.751 0.751
Rh 0.000 0.000 0.000

Values from the calculation:
The energy relative to the elements is -0.524 eV/atom. As for the density of states at the Fermi level: 4.11 states/eV per cell. As for the total energy: -49.26 eV for the cell shown. As for the space group: No. 166.

***

[4]
First-principles (GGA-PBE) data for crystalline Er4CdRuRh2 at its relaxed geometry, as listed in Alexandria.

Cell lengths 8.527, 8.527, 8.527 Å; angles 33.29, 33.29, 33.29 degrees
Atoms (fractional coordinates):
Er 0.118 0.118 0.118
Er 0.370 0.370 0.370
Er 0.630 0.630 0.630
Er 0.882 0.882 0.882
Cd 0.500 0.500 0.500
Ru 0.000 0.000 0.000
Rh 0.250 0.250 0.250
Rh 0.750 0.750 0.750

Values from the calculation:
The energy relative to the elements is -0.634 eV/atom. As for the density of states at the Fermi level: 4.65 states/eV per cell. As for the total energy: -48.21 eV for the cell shown. As for the space group: No. 166.

***

[5]
First-principles (GGA-PBE) data for crystalline ErScCdRh at its relaxed geometry, as listed in Alexandria.

Cell lengths 4.896, 4.896, 4.896 Å; angles 60.00, 60.00, 60.00 degrees
Atoms (fractional coordinates):
Er 0.000 0.000 0.000
Sc 0.500 0.500 0.500
Cd 0.750 0.750 0.750
Rh 0.250 0.250 0.250

Values from the calculation:
The energy relative to the elements is -0.542 eV/atom. As for the density of states at the Fermi level: 2.29 states/eV per cell. As for the total energy: -21.33 eV for the cell shown. As for the space group: No. 216. As for the energy relative to the lowest polymorph listed for this composition: 10.09 kJ/mol of atoms.

***

[6]
First-principles (GGA-PBE) data for crystalline ErScCdRh at its relaxed geometry, as listed in Alexandria.

Cell lengths 3.390, 3.390, 7.322 Å; angles 90.00, 90.00, 90.00 degrees
Atoms (fractional coordinates):
Er 0.000 0.000 0.000
Sc 0.000 0.000 0.566
Cd 0.500 0.500 0.302
Rh 0.500 0.500 0.766

Values from the calculation:
The energy relative to the elements is -0.646 eV/atom. As for the density of states at the Fermi level: 2.49 states/eV per cell. As for the total energy: -21.75 eV for the cell shown. As for the space group: No. 99. As for the energy relative to the lowest polymorph listed for this composition: 0.00 kJ/mol of atoms.

***

[7]
First-principles (GGA-PBE) data for crystalline Er2CdSi2Rh5 at its relaxed geometry, as listed in Alexandria.

Cell lengths 9.789, 9.789, 3.485 Å; angles 90.00, 90.00, 90.00 degrees
Atoms (fractional coordinates):
Er 0.174 0.326 0.000
Er 0.326 0.826 0.000
Er 0.674 0.174 0.000
Er 0.826 0.674 0.000
Cd 0.000 0.000 0.000
Cd 0.500 0.500 0.000
Si 0.124 0.624 0.000
Si 0.376 0.124 0.000
Si 0.624 0.876 0.000
Si 0.876 0.376 0.000
Rh 0.000 0.500 0.500
Rh 0.070 0.783 0.500
Rh 0.217 0.070 0.500
Rh 0.283 0.570 0.500
Rh 0.430 0.283 0.500
Rh 0.500 0.000 0.500
Rh 0.570 0.717 0.500
Rh 0.717 0.430 0.500
Rh 0.783 0.930 0.500
Rh 0.930 0.217 0.500

Values from the calculation:
As for the density of states at the Fermi level: 4.05 states/eV per cell. The value obtained for the uncorrected formation energy is -0.92 eV/atom. As for the total energy: -133.77 eV for the cell shown. As for the space group: No. 127.

***

[8]
First-principles (GGA-PBE) data for crystalline TbErCdRh at its relaxed geometry, as listed in Alexandria.

Cell lengths 5.042, 5.042, 5.042 Å; angles 60.00, 60.00, 60.00 degrees
Atoms (fractional coordinates):
Tb 0.000 0.000 0.000
Er 0.500 0.500 0.500
Cd 0.750 0.750 0.750
Rh 0.250 0.250 0.250

Values from the calculation:
The energy relative to the elements is -0.537 eV/atom. As for the density of states at the Fermi level: 2.40 states/eV per cell. As for the total energy: -19.61 eV for the cell shown. As for the space group: No. 216. As for the energy relative to the lowest polymorph listed for this composition: 8.38 kJ/mol of atoms.

***

[9]
First-principles (GGA-PBE) data for crystalline TbEr2CdRh4 at its relaxed geometry, as listed in Alexandria.

Cell lengths 8.208, 8.208, 8.208 Å; angles 33.67, 33.67, 33.67 degrees
Atoms (fractional coordinates):
Tb 0.000 0.000 0.000
Er 0.244 0.244 0.244
Er 0.756 0.756 0.756
Cd 0.500 0.500 0.500
Rh 0.123 0.123 0.123
Rh 0.375 0.375 0.375
Rh 0.625 0.625 0.625
Rh 0.877 0.877 0.877

Values from the calculation:
The energy relative to the elements is -0.773 eV/atom. As for the density of states at the Fermi level: 3.27 states/eV per cell. As for the total energy: -50.26 eV for the cell shown. As for the space group: No. 166.

***

[10]
First-principles (GGA-PBE) data for crystalline TbErCdRh at its relaxed geometry, as listed in Alexandria.

Cell lengths 3.499, 3.499, 7.540 Å; angles 90.00, 90.00, 90.00 degrees
Atoms (fractional coordinates):
Tb 0.000 0.000 0.000
Er 0.000 0.000 0.566
Cd 0.500 0.500 0.288
Rh 0.500 0.500 0.777

Values from the calculation:
The energy relative to the elements is -0.624 eV/atom. As for the density of states at the Fermi level: 2.08 states/eV per cell. As for the total energy: -19.96 eV for the cell shown. As for the space group: No. 99. As for the energy relative to the lowest polymorph listed for this composition: 0.00 kJ/mol of atoms.

***

[11]
First-principles (GGA-PBE) data for crystalline ErThCdRh at its relaxed geometry, as listed in Alexandria.

Cell lengths 5.144, 5.144, 5.144 Å; angles 60.00, 60.00, 60.00 degrees
Atoms (fractional coordinates):
Er 0.000 0.000 0.000
Th 0.500 0.500 0.500
Cd 0.750 0.750 0.750
Rh 0.250 0.250 0.250

Values from the calculation:
The energy relative to the elements is -0.403 eV/atom. As for the density of states at the Fermi level: 4.05 states/eV per cell. As for the total energy: -21.86 eV for the cell shown. As for the space group: No. 216.